# 1
A PBEsol-optimized structure of Y2Al9Co3, computed with meta-GGA SCAN.

It has space group Cmcm (No. 63), with a = 12.612 Å, b = 7.402 Å, c = 9.213 Å, α = 90.00°, β = 90.00° and γ = 90.00°. Symmetry generates all atoms from Y at (0.160, 0.167, 0.250), Al at (0.000, 0.124, 0.750), Al at (0.000, 0.332, 0.041), Al at (0.108, 0.447, 0.750), Al at (0.169, 0.166, 0.572), Co at (0.000, 0.000, 0.000) and Co at (0.171, 0.500, 0.000).

The value obtained for the density of states at the Fermi level is 25.13 states/eV/cell. Its crystal system is orthorhombic. The calculation puts the formation energy from the elements at -0.567 eV/atom.

---

# 2
A PBEsol-optimized structure of Y2AlCo2, computed with meta-GGA SCAN.

It has space group P4/mbm (No. 127), with a = 6.687 Å, b = 6.687 Å, c = 4.001 Å, α = 90.00°, β = 90.00° and γ = 90.00°. Symmetry generates all atoms from Y at (0.182, 0.318, 0.000), Al at (0.000, 0.000, 0.500) and Co at (0.117, 0.617, 0.500).

The value obtained for the density of states at the Fermi level is 7.42 states/eV/cell. Its crystal system is tetragonal. The calculation puts the formation energy from the elements at -0.219 eV/atom.

---

# 3
A PBEsol-optimized structure of YAl8Co2, computed with meta-GGA SCAN.

It has space group Pbam (No. 55), with a = 12.311 Å, b = 14.239 Å, c = 3.923 Å, α = 90.00°, β = 90.00° and γ = 90.00°. Symmetry generates all atoms from Y at (0.159, 0.181, 0.000), Al at (0.000, 0.000, 0.000), Al at (0.000, 0.500, 0.500), Al at (0.024, 0.868, 0.500), Al at (0.048, 0.319, 0.500), Al at (0.097, 0.747, 0.000), Al at (0.160, 0.456, 0.000), Al at (0.161, 0.622, 0.500), Al at (0.168, 0.009, 0.500), Al at (0.236, 0.826, 0.500), Co at (0.035, 0.594, 0.000) and Co at (0.152, 0.904, 0.000).

The value obtained for the density of states at the Fermi level is 13.92 states/eV/cell. Its crystal system is orthorhombic. The calculation puts the formation energy from the elements at -0.469 eV/atom.

---

# 4
A PBEsol-optimized structure of Y2Al3Co14, computed with meta-GGA SCAN.

It has space group P6_3/mmc (No. 194), with a = 8.2451 Å, b = 8.2451 Å, c = 8.0370 Å, α = 90.00°, β = 90.00° and γ = 120.00°. Symmetry generates all atoms from Y at (0.0000, 0.0000, 0.2500), Y at (0.3333, 0.6667, 0.2500), Al at (0.0000, 0.5000, 0.0000), Co at (0.0469, 0.3724, 0.7500), Co at (0.1626, 0.3252, 0.0164) and Co at (0.3333, 0.6667, 0.6099).

The value obtained for the density of states at the Fermi level is 32.49 states/eV/cell. Its crystal system is hexagonal. The calculation puts the formation energy from the elements at -0.162 eV/atom.

---

What did the fourth record say?
A PBEsol-optimized structure of Y2Al3Co14, computed with meta-GGA SCAN.

It has space group P6_3/mmc (No. 194), with a = 8.2451 Å, b = 8.2451 Å, c = 8.0370 Å, α = 90.00°, β = 90.00° and γ = 120.00°. Symmetry generates all atoms from Y at (0.0000, 0.0000, 0.2500), Y at (0.3333, 0.6667, 0.2500), Al at (0.0000, 0.5000, 0.0000), Co at (0.0469, 0.3724, 0.7500), Co at (0.1626, 0.3252, 0.0164) and Co at (0.3333, 0.6667, 0.6099).

The value obtained for the density of states at the Fermi level is 32.49 states/eV/cell. Its crystal system is hexagonal. The calculation puts the formation energy from the elements at -0.162 eV/atom.

---

Question: What is the formation energy from the elements in the third record?
Answer: -0.469 eV/atom

---

Question: Number 1 is which compound?
Answer: Y2Al9Co3

---

Copy entry 1 word for word.
A PBEsol-optimized structure of Y2Al9Co3, computed with meta-GGA SCAN.

It has space group Cmcm (No. 63), with a = 12.612 Å, b = 7.402 Å, c = 9.213 Å, α = 90.00°, β = 90.00° and γ = 90.00°. Symmetry generates all atoms from Y at (0.160, 0.167, 0.250), Al at (0.000, 0.124, 0.750), Al at (0.000, 0.332, 0.041), Al at (0.108, 0.447, 0.750), Al at (0.169, 0.166, 0.572), Co at (0.000, 0.000, 0.000) and Co at (0.171, 0.500, 0.000).

The value obtained for the density of states at the Fermi level is 25.13 states/eV/cell. Its crystal system is orthorhombic. The calculation puts the formation energy from the elements at -0.567 eV/atom.